Entry 1:
Computed, not measured: an optimized crystal structure of U2MnOs3 at the PBE level of DFT.

a b c (Å): 5.4478 5.4478 7.9662
angles (deg): 90.00 90.00 120.00
Space group P6_3/mmc (No. 194)
Unique sites:
U1 0.3333 0.6667 0.0833 x4
Mn1 0.0000 0.0000 0.0000 x2
Os1 0.1693 0.3387 0.7500 x6

Energy of formation, eV/atom: -0.14

=====

Entry 2:
Computed, not measured: an optimized crystal structure of UMnOs at the PBE level of DFT.

a b c (Å): 7.844 3.796 3.576
angles (deg): 90.00 90.00 90.00
Space group Pmma (No. 51)
Unique sites:
U1 0.000 0.000 0.000 x2
Mn1 0.250 0.000 0.369 x2
Os1 0.250 0.500 0.825 x2

Excess energy over the best structure of this formula in the dataset, meV per atom: 507
Energy of formation, eV/atom: 0.37

=====

Entry 3:
Computed, not measured: an optimized crystal structure of UMnOs at the PBE level of DFT.

a b c (Å): 3.8879 3.8879 4.1041
angles (deg): 90.00 90.00 120.00
Space group P3m1 (No. 156)
Unique sites:
U1 0.0000 0.0000 0.0000 x1
Mn1 0.3333 0.6667 0.4095 x1
Os1 0.6667 0.3333 0.5688 x1

Excess energy over the best structure of this formula in the dataset, meV per atom: 402
Energy of formation, eV/atom: 0.26

=====

Entry 4:
Computed, not measured: an optimized crystal structure of UMnOs at the PBE level of DFT.

a b c (Å): 4.528 5.487 7.744
angles (deg): 90.00 90.00 90.00
Space group Imma (No. 74)
Unique sites:
U1 0.000 0.250 0.144 x4
Mn1 0.250 0.250 0.750 x4
Os1 0.000 0.000 0.500 x4

Excess energy over the best structure of this formula in the dataset, meV per atom: 0
Energy of formation, eV/atom: -0.14